Record 1
RbAlAs2: relaxed, PBE.

Computed properties:
The calculation puts the magnetization at 0.000 μB/f.u. For the calculated formation energy, the calculation gives -209 meV per atom. Its raw total energy is -14.845 eV/f.u.

```
8
Lattice="5.858 0.000 0.000 0.000 5.858 0.000 2.929 2.929 7.597" Properties=species:S:1:pos:R:3 pbc="T T T"
Al 2.929 5.858 3.798
Rb 0.000 0.000 0.000
As 4.393 5.486 5.698
Al 2.929 2.929 0.000
As 3.300 1.464 1.899
Rb 5.858 2.929 3.798
As 7.322 6.229 5.698
As 2.557 4.393 1.899
```


Record 2
YAlAu: relaxed, PBE.

Computed properties:
The calculation puts the magnetization at 0.000 μB/f.u. For the calculated formation energy, the calculation gives -786 meV per atom. Its raw total energy is -15.843 eV/f.u.

```
18
Lattice="4.293 0.000 0.000 0.000 7.177 -0.010 0.000 -0.042 12.369" Properties=species:S:1:pos:R:3 pbc="T T T"
Au 1.073 5.548 11.253
Y 3.220 4.645 1.008
Y 1.073 3.528 7.750
Au 1.073 1.543 5.300
Au 1.073 5.148 3.058
Y 3.220 0.059 3.691
Al 3.220 4.694 9.854
Y 3.220 3.607 4.609
Y 1.073 7.075 8.667
Al 1.073 5.967 5.637
Au 3.220 1.587 1.106
Al 3.220 1.167 6.722
Al 1.073 7.067 1.096
Al 1.073 2.440 2.504
Al 3.220 0.067 11.263
Y 1.073 2.490 11.351
Au 3.220 5.592 7.059
Au 3.220 1.986 9.301
```


Record 3
SrB2Pt10: relaxed, PBE.

Computed properties:
The calculation puts the magnetization at 0.000 μB/f.u. For the calculated formation energy, the calculation gives -145 meV per atom. Its raw total energy is -77.335 eV/f.u.

```
13
Lattice="-3.782 -3.483 1.317 2.262 -4.112 6.317 -4.177 1.962 3.887" Properties=species:S:1:pos:R:3 pbc="T T T"
Pt -4.361 -1.376 5.226
Pt -2.088 0.981 1.944
Pt -4.327 -4.216 8.508
Pt 0.166 -2.297 5.098
Pt -5.863 -3.337 6.423
Pt -1.370 -1.417 3.014
B -0.760 -3.797 3.817
Pt -2.831 -2.246 7.319
B 1.131 -2.056 3.159
Sr 0.000 0.000 0.000
Pt -2.866 -3.387 4.202
Pt -3.980 -0.761 2.602
Pt -1.336 -4.257 6.295
```


Record 4
CsMnIN2: relaxed, PBE.

Computed properties:
The calculation puts the magnetization at 0.001 μB/f.u. Its raw total energy is -22.135 eV/f.u.

```
5
Lattice="-1.303 4.026 -0.646 -0.720 0.440 4.197 5.089 1.758 0.689" Properties=species:S:1:pos:R:3 pbc="T T T"
N -0.652 2.013 -0.323
Mn 0.000 0.000 0.000
I 2.545 0.879 0.344
N -0.360 0.220 2.098
Cs 1.533 3.112 2.120
```


Record 5
Ac2LaScSe6: relaxed, PBE.

Computed properties:
The calculation puts the magnetization at 0.000 μB/f.u. Its raw total energy is -59.750 eV/f.u.

```
20
Lattice="-3.689 -5.965 -1.552 2.058 -3.087 6.973 -8.518 4.430 4.475" Properties=species:S:1:pos:R:3 pbc="T T T"
Se -6.655 -2.405 3.609
Se -9.379 -3.311 8.485
La -3.230 0.671 5.724
Ac -9.773 -2.704 2.546
Sc 1.029 -1.544 3.487
La -1.844 -2.982 -0.776
Ac -7.113 -1.735 6.664
Sc -6.103 -0.768 1.462
Se -5.654 -1.900 9.410
Se -4.495 -2.722 0.487
Se -9.857 -0.974 5.362
Se -0.769 -1.312 1.411
Se -6.097 -4.862 7.005
Se -4.100 -5.806 3.479
Se -4.051 0.240 2.892
Ac -3.035 -2.887 3.233
Ac -0.375 -1.919 7.351
Se -3.493 -2.217 6.288
Se -0.291 -3.648 4.535
Se -6.048 1.183 6.418
```


Record 6
CsCdRhPb2: relaxed, PBE.

Computed properties:
The calculation puts the magnetization at 0.000 μB/f.u. For the calculated formation energy, the calculation gives -15 meV per atom. Its raw total energy is -16.612 eV/f.u.

```
5
Lattice="5.393 0.000 0.000 0.000 5.393 0.000 0.000 0.000 5.465" Properties=species:S:1:pos:R:3 pbc="T T T"
Cs 2.697 2.697 2.732
Rh 0.000 0.000 0.000
Pb 0.000 2.697 0.000
Pb 2.697 0.000 0.000
Cd 0.000 0.000 2.732
```


Record 7
La16Ho6Tm7: relaxed, PBE.

Computed properties:
The calculation puts the magnetization at 0.000 μB/f.u. For the calculated formation energy, the calculation gives 187 meV per atom. Its raw total energy is -132.188 eV/f.u.

```
29
Lattice="9.897 0.000 5.714 3.299 9.331 5.714 0.000 0.000 11.428" Properties=species:S:1:pos:R:3 pbc="T T T"
La 11.541 8.161 14.295
Ho 3.405 2.408 11.428
Tm 1.650 4.666 2.857
La 1.655 1.170 2.866
Ho 9.791 6.923 11.428
La 6.598 8.767 11.428
Tm 4.949 0.000 8.571
La 9.897 3.511 17.143
La 3.299 5.821 5.714
La 2.732 6.033 11.428
Ho 5.002 6.923 8.663
La 6.609 8.161 17.143
La 11.541 8.161 19.990
Ho 5.002 6.923 14.194
Tm 6.598 4.666 5.714
La 1.655 1.170 8.562
Ho 8.195 2.408 8.663
Ho 8.195 2.408 14.194
La 6.587 1.170 5.714
La 8.532 6.033 14.777
Tm 0.000 0.000 0.000
La 4.665 3.299 14.777
La 6.598 0.564 11.428
La 10.465 3.299 11.428
Tm 0.000 0.000 5.714
Tm 1.650 4.666 8.571
La 4.665 3.299 8.080
Tm 4.949 0.000 2.857
La 8.532 6.033 8.080
```


Record 8
NbSiOs3: relaxed, PBE.

Computed properties:
The calculation puts the magnetization at 0.000 μB/f.u. Its raw total energy is -45.199 eV/f.u.

```
5
Lattice="-0.612 -4.305 0.294 1.161 0.122 4.199 -4.156 0.668 1.129" Properties=species:S:1:pos:R:3 pbc="T T T"
Nb -1.803 -1.758 2.811
Os -2.078 0.334 0.565
Os -0.306 -2.152 0.147
Si 0.000 0.000 0.000
Os 0.580 0.061 2.099
```